# 1
# Nd3AsS PBE optimized geometry
data_Nd3AsS
_symmetry_space_group_name_H-M 'P 1'
_symmetry_Int_Tables_number 1
_cell_length_a 6.806
_cell_length_b 6.806
_cell_length_c 3.747
_cell_angle_alpha 90.00
_cell_angle_beta 90.00
_cell_angle_gamma 120.00
loop_
_symmetry_equiv_pos_as_xyz
'x,y,z'
loop_
_atom_site_label
_atom_site_fract_x
_atom_site_fract_y
_atom_site_fract_z
Nd1 0.007 0.669 0.000
Nd2 0.331 0.338 0.000
Nd3 0.662 0.993 0.000
As1 0.667 0.333 0.500
S1 0.333 0.667 0.500
# * raw formation energy: -1.09 eV/atom

***

# 2
# Nd7AsS5 PBE optimized geometry
data_Nd7AsS5
_symmetry_space_group_name_H-M 'P 1'
_symmetry_Int_Tables_number 1
_cell_length_a 6.984
_cell_length_b 6.984
_cell_length_c 24.140
_cell_angle_alpha 90.03
_cell_angle_beta 90.03
_cell_angle_gamma 33.78
loop_
_symmetry_equiv_pos_as_xyz
'x,y,z'
loop_
_atom_site_label
_atom_site_fract_x
_atom_site_fract_y
_atom_site_fract_z
Nd1 0.000 0.000 0.000
Nd2 0.000 0.000 0.145
Nd3 0.099 0.099 0.709
Nd4 0.100 0.100 0.435
Nd5 0.279 0.279 0.209
Nd6 0.279 0.279 0.935
Nd7 0.378 0.378 0.500
Nd8 0.378 0.378 0.645
Nd9 0.551 0.551 0.860
Nd10 0.552 0.552 0.285
Nd11 0.659 0.659 0.572
Nd12 0.719 0.719 0.072
Nd13 0.826 0.826 0.785
Nd14 0.827 0.827 0.360
As1 0.381 0.381 0.072
As2 0.997 0.997 0.573
S1 0.189 0.189 0.322
S2 0.189 0.189 0.822
S3 0.465 0.465 0.393
S4 0.465 0.465 0.751
S5 0.639 0.639 0.179
S6 0.639 0.639 0.966
S7 0.739 0.739 0.679
S8 0.740 0.740 0.466
S9 0.913 0.913 0.251
S10 0.913 0.913 0.893
# * raw formation energy: -1.77 eV/atom

***

# 3
# Nd5As2S2 PBE optimized geometry
data_Nd5As2S2
_symmetry_space_group_name_H-M 'P 1'
_symmetry_Int_Tables_number 1
_cell_length_a 8.329
_cell_length_b 8.329
_cell_length_c 7.878
_cell_angle_alpha 90.00
_cell_angle_beta 90.00
_cell_angle_gamma 55.67
loop_
_symmetry_equiv_pos_as_xyz
'x,y,z'
loop_
_atom_site_label
_atom_site_fract_x
_atom_site_fract_y
_atom_site_fract_z
Nd1 0.000 0.000 0.000
Nd2 0.022 0.699 0.653
Nd3 0.199 0.522 0.153
Nd4 0.301 0.978 0.653
Nd5 0.478 0.801 0.153
Nd6 0.500 0.500 0.500
Nd7 0.522 0.199 0.847
Nd8 0.699 0.022 0.347
Nd9 0.801 0.478 0.847
Nd10 0.978 0.301 0.347
As1 0.144 0.856 0.356
As2 0.356 0.644 0.856
As3 0.644 0.356 0.144
As4 0.856 0.144 0.644
S1 0.194 0.194 0.000
S2 0.306 0.306 0.500
S3 0.694 0.694 0.500
S4 0.806 0.806 0.000
# * raw formation energy: -1.42 eV/atom

***

# 4
# Nd2AsS6 PBE optimized geometry
data_Nd2AsS6
_symmetry_space_group_name_H-M 'P 1'
_symmetry_Int_Tables_number 1
_cell_length_a 6.220
_cell_length_b 6.220
_cell_length_c 12.270
_cell_angle_alpha 90.00
_cell_angle_beta 90.00
_cell_angle_gamma 90.00
loop_
_symmetry_equiv_pos_as_xyz
'x,y,z'
loop_
_atom_site_label
_atom_site_fract_x
_atom_site_fract_y
_atom_site_fract_z
Nd1 0.000 0.000 0.165
Nd2 0.000 0.000 0.835
Nd3 0.500 0.500 0.335
Nd4 0.500 0.500 0.665
As1 0.000 0.000 0.500
As2 0.500 0.500 0.000
S1 0.181 0.181 0.355
S2 0.181 0.181 0.645
S3 0.225 0.225 0.000
S4 0.275 0.725 0.500
S5 0.319 0.681 0.145
S6 0.319 0.681 0.855
S7 0.681 0.319 0.145
S8 0.681 0.319 0.855
S9 0.725 0.275 0.500
S10 0.775 0.775 0.000
S11 0.819 0.819 0.355
S12 0.819 0.819 0.645
# * raw formation energy: -0.76 eV/atom

***

# 5
# Nd6AsS4 PBE optimized geometry
data_Nd6AsS4
_symmetry_space_group_name_H-M 'P 1'
_symmetry_Int_Tables_number 1
_cell_length_a 6.966
_cell_length_b 6.966
_cell_length_c 20.691
_cell_angle_alpha 90.00
_cell_angle_beta 90.00
_cell_angle_gamma 146.10
loop_
_symmetry_equiv_pos_as_xyz
'x,y,z'
loop_
_atom_site_label
_atom_site_fract_x
_atom_site_fract_y
_atom_site_fract_z
Nd1 0.000 0.000 0.000
Nd2 0.000 0.000 0.500
Nd3 0.165 0.835 0.750
Nd4 0.276 0.724 0.088
Nd5 0.276 0.724 0.412
Nd6 0.446 0.554 0.664
Nd7 0.446 0.554 0.836
Nd8 0.554 0.446 0.164
Nd9 0.554 0.446 0.336
Nd10 0.724 0.276 0.588
Nd11 0.724 0.276 0.912
Nd12 0.835 0.165 0.250
As1 0.171 0.829 0.250
As2 0.829 0.171 0.750
S1 0.085 0.915 0.625
S2 0.085 0.915 0.875
S3 0.359 0.641 0.539
S4 0.359 0.641 0.961
S5 0.641 0.359 0.039
S6 0.641 0.359 0.461
S7 0.915 0.085 0.125
S8 0.915 0.085 0.375
# * raw formation energy: -1.72 eV/atom

***

# 6
# NdAsS PBE optimized geometry
data_NdAsS
_symmetry_space_group_name_H-M 'P 1'
_symmetry_Int_Tables_number 1
_cell_length_a 17.574
_cell_length_b 3.925
_cell_length_c 3.987
_cell_angle_alpha 90.00
_cell_angle_beta 90.00
_cell_angle_gamma 90.00
loop_
_symmetry_equiv_pos_as_xyz
'x,y,z'
loop_
_atom_site_label
_atom_site_fract_x
_atom_site_fract_y
_atom_site_fract_z
Nd1 0.146 0.250 0.232
Nd2 0.354 0.750 0.732
Nd3 0.646 0.250 0.268
Nd4 0.854 0.750 0.768
As1 0.002 0.250 0.708
As2 0.498 0.750 0.208
As3 0.502 0.250 0.792
As4 0.998 0.750 0.292
S1 0.187 0.750 0.735
S2 0.313 0.250 0.235
S3 0.687 0.750 0.765
S4 0.813 0.250 0.265
# * raw formation energy: -1.57 eV/atom